The following is a PBE-GGA calculation of a geometry-optimized RbBaNa structure, from Alexandria.

Geometry as POSCAR:
```
RbBaNa
1.0
-2.265 2.265 9.157
2.265 -2.265 9.157
2.265 2.265 -9.157
Rb Ba Na
1 1 1
Direct
0.000 0.000 0.000
0.706 0.706 0.000
0.344 0.344 0.000
```

The value obtained for the total magnetization is 0.000 μB per formula unit. The electronic total energy is -1.3307 eV/atom. The crystal system is tetragonal. As for the symmetry: I4mm (107). As for the volume: 188.0 Å³/cell. The calculated formation energy comes out at 6.99 kJ per mole of atoms.